{"formula": "Tb3Pm2Ga4", "functional": "PBE-GGA", "state": "relaxed", "lattice_angstrom": [[6.9408, 0.0000, 0.0000], [0.0000, 8.6349, 0.0000], [-3.4704, 0.0000, 7.8965]], "species": ["Tb", "Tb", "Pm", "Pm", "Tb", "Pm", "Ga", "Ga", "Ga", "Ga", "Tb", "Ga", "Tb", "Pm", "Tb", "Ga", "Ga", "Ga"], "fractional_positions": [[0.5337, 0.7500, 0.5674], [0.4663, 0.2500, 0.4326], [0.8934, 0.4212, 0.7869], [0.3934, 0.0788, 0.7869], [0.0000, 0.0000, 0.0000], [0.1066, 0.5788, 0.2131], [0.7813, 0.2500, 0.0625], [0.2187, 0.7500, 0.9375], [0.8136, 0.0395, 0.6272], [0.6864, 0.5395, 0.3728], [0.5000, 0.5000, 0.0000], [0.1864, 0.9605, 0.3728], [0.0337, 0.7500, 0.5674], [0.6066, 0.9212, 0.2131], [0.9663, 0.2500, 0.4326], [0.7187, 0.7500, 0.9375], [0.2813, 0.2500, 0.0625], [0.3136, 0.4605, 0.6272]], "sg": "Cmce, No. 64", "rho_g_cm3": 7.34, "m_tot_mub_per_fu": 0.0, "e_above_lowest_polymorph_ev_per_atom": 0.1529, "e_tot_ev_per_atom": -4.36, "formation_energy_ev_per_atom": -0.417}